(1)
The following is a DFT calculation (PBE-GGA) of crystalline Ta2CoRu at its relaxed geometry.

The final energy comes out at -9.9591 eV/atom. For the density of states at the Fermi level, the calculation gives 5.10 states/eV per cell. The calculation puts the density at 14.04 g/cm3.

The space group is P4mm (No. 99) and the conventional cell measures 2.777, 2.777 and 8.007 Å, with angles of 90.00, 90.00 and 90.00 degrees. Symmetry generates all atoms from Ta at (0.000, 0.000, 0.000), Ta at (0.500, 0.500, 0.293), Co at (0.000, 0.000, 0.536) and Ru at (0.500, 0.500, 0.735).

(2)
The following is a DFT calculation (PBE-GGA) of crystalline Rb4Sm3ScS8 at its relaxed geometry.

For the density of states at the Fermi level, the calculation gives 0.00 states/eV per cell. For the uncorrected formation energy, the calculation gives -41.32 kcal/mol of atoms. The calculation puts the density at 4.06 g/cm3.

The space group is R-3m (No. 166, hexagonal axes) and the conventional cell measures 8.1993, 8.1993 and 23.0702 Å, with angles of 90.00, 90.00 and 120.00 degrees. Symmetry generates all atoms from Rb at (0.0000, 0.0000, 0.0000), Rb at (0.0000, 0.5000, 0.0000), Sm at (0.0000, 0.5000, 0.5000), Sc at (0.0000, 0.0000, 0.5000), S at (0.0000, 0.0000, 0.2326) and S at (0.0153, 0.5077, 0.2301).